First-principles (PBE-GGA) data for an optimized crystal structure of BaNbMo, as listed in OQMD.

extended XYZ file:
```
3
Lattice="0.000 3.402 3.402 3.402 0.000 3.402 3.402 3.402 0.000" Properties=species:S:1:pos:R:3 pbc="T T T"
Ba 0.000 0.000 0.000
Mo 1.701 1.701 1.701
Nb 5.104 5.104 5.104
```

Density, g cm⁻³: 6.88
E_tot, eV/atom: -5.210
E above lowest polymorph, eV/atom: 1.026